Record 1
BaHf4SnO12 GGA-PBE relaxed; formation energy without anion corrections = -2.70 eV per atom; density of states at the Fermi level = 0.394 states/eV/atom; calculated volume = 266 Å³/f.u.
1.0
8.234 0.000 0.000
0.000 4.048 3.994
0.000 -4.048 3.994
Ba Hf Sn O
1 4 1 12
Direct
0.000 0.000 0.000
0.253 0.040 0.524
0.253 0.524 0.040
0.747 0.040 0.524
0.747 0.524 0.040
0.500 0.566 0.566
0.000 0.063 0.498
0.000 0.498 0.063
0.241 0.739 0.739
0.249 0.230 0.830
0.249 0.830 0.230
0.331 0.368 0.368
0.500 0.526 0.922
0.500 0.922 0.526
0.669 0.368 0.368
0.751 0.230 0.830
0.751 0.830 0.230
0.759 0.739 0.739

=====

Record 2
Ba2HfSnO GGA-PBE relaxed; formation energy without anion corrections = -1.04 eV per atom; density of states at the Fermi level = 0.677 states/eV/atom; calculated volume = 155 Å³/f.u.
1.0
6.159 0.000 0.000
0.000 6.159 0.000
0.000 0.000 4.087
Ba Hf Sn O
2 1 1 1
Direct
0.000 0.500 0.000
0.500 0.000 0.000
0.000 0.000 0.500
0.500 0.500 0.500
0.000 0.000 0.000

=====

Record 3
BaHfZrSnO6 GGA-PBE relaxed; formation energy without anion corrections = -2.82 eV per atom; density of states at the Fermi level = 0.000 states/eV/atom; calculated volume = 148 Å³/f.u.
1.0
0.000 4.199 4.199
4.199 0.000 4.199
4.199 4.199 0.000
Ba Hf Zr Sn O
1 1 1 1 6
Direct
0.000 0.000 0.000
0.250 0.250 0.250
0.750 0.750 0.750
0.500 0.500 0.500
0.002 0.002 0.498
0.002 0.498 0.002
0.002 0.498 0.498
0.498 0.002 0.002
0.498 0.002 0.498
0.498 0.498 0.002

=====

Record 4
BaSrHf2O6 GGA-PBE relaxed; formation energy without anion corrections = -3.37 eV per atom; density of states at the Fermi level = 0.000 states/eV/atom; calculated volume = 144 Å³/f.u.
1.0
-2.933 2.933 4.190
2.933 -2.933 4.190
2.933 2.933 -4.190
Ba Sr Hf O
1 1 2 6
Direct
0.000 0.000 0.000
0.500 0.500 0.000
0.250 0.750 0.500
0.750 0.250 0.500
0.000 0.500 0.500
0.045 0.474 0.000
0.474 0.045 0.000
0.500 0.000 0.500
0.526 0.526 0.570
0.955 0.955 0.430

=====

Record 5
Ba2SrHf2O7 GGA-PBE relaxed; formation energy without anion corrections = -3.23 eV per atom; density of states at the Fermi level = 0.000 states/eV/atom; calculated volume = 190 Å³/f.u.
1.0
-2.086 2.086 10.939
2.086 -2.086 10.939
2.086 2.086 -10.939
Ba Sr Hf O
2 1 2 7
Direct
0.185 0.185 0.000
0.815 0.815 0.000
0.000 0.000 0.000
0.405 0.405 0.000
0.595 0.595 0.000
0.093 0.593 0.500
0.309 0.309 0.000
0.407 0.907 0.500
0.500 0.500 0.000
0.593 0.093 0.500
0.691 0.691 0.000
0.907 0.407 0.500

=====

Record 6
Ba4SrHf3O12 GGA-PBE relaxed; formation energy without anion corrections = -2.94 eV per atom; density of states at the Fermi level = 0.755 states/eV/atom; calculated volume = 322 Å³/f.u.
1.0
-4.318 4.318 4.318
4.318 -4.318 4.318
4.318 4.318 -4.318
Ba Sr Hf O
4 1 3 12
Direct
0.000 0.000 0.500
0.000 0.500 0.000
0.500 0.000 0.000
0.500 0.500 0.500
0.000 0.000 0.000
0.000 0.500 0.500
0.500 0.000 0.500
0.500 0.500 0.000
0.000 0.269 0.269
0.000 0.731 0.731
0.250 0.500 0.750
0.250 0.750 0.500
0.269 0.000 0.269
0.269 0.269 0.000
0.500 0.250 0.750
0.500 0.750 0.250
0.731 0.000 0.731
0.731 0.731 0.000
0.750 0.250 0.500
0.750 0.500 0.250

=====

Record 7
BaHfTa2O GGA-PBE relaxed; formation energy without anion corrections = -0.05 eV per atom; density of states at the Fermi level = 1.188 states/eV/atom; calculated volume = 99 Å³/f.u.
1.0
4.333 0.000 0.000
0.000 4.333 0.000
0.000 0.000 5.253
Ba Hf Ta O
1 1 2 1
Direct
0.000 0.000 0.000
0.500 0.500 0.000
0.000 0.500 0.500
0.500 0.000 0.500
0.000 0.000 0.500

=====

Record 8
BaHf2TaO8 GGA-PBE relaxed; formation energy without anion corrections = -2.91 eV per atom; calculated volume = 173 Å³/f.u.
1.0
3.442 -3.545 0.000
3.442 3.545 0.000
0.000 0.000 7.071
Ba Hf Ta O
1 2 1 8
Direct
0.000 0.000 0.000
0.500 0.500 0.274
0.500 0.500 0.726
0.000 0.000 0.500
0.204 0.204 0.304
0.204 0.204 0.696
0.299 0.701 0.500
0.355 0.645 0.000
0.645 0.355 0.000
0.701 0.299 0.500
0.796 0.796 0.304
0.796 0.796 0.696

=====

Record 9
Ba2HfTcO6 GGA-PBE relaxed; formation energy without anion corrections = -2.69 eV per atom; density of states at the Fermi level = 0.080 states/eV/atom; calculated volume = 142 Å³/f.u.
1.0
0.000 4.145 4.145
4.145 0.000 4.145
4.145 4.145 0.000
Ba Hf Tc O
2 1 1 6
Direct
0.250 0.250 0.250
0.750 0.750 0.750
0.000 0.000 0.000
0.500 0.500 0.500
0.252 0.252 0.748
0.252 0.748 0.252
0.252 0.748 0.748
0.748 0.252 0.252
0.748 0.252 0.748
0.748 0.748 0.252

=====

Record 10
BaHfTeO5 GGA-PBE relaxed; formation energy without anion corrections = -2.37 eV per atom; density of states at the Fermi level = 0.000 states/eV/atom; calculated volume = 137 Å³/f.u.
1.0
3.918 -4.789 0.000
3.918 4.789 0.000
-3.682 0.000 7.308
Ba Hf Te O
2 2 2 10
Direct
0.069 0.931 0.750
0.931 0.069 0.250
0.000 0.500 0.000
0.500 0.000 0.500
0.466 0.534 0.750
0.534 0.466 0.250
0.177 0.263 0.066
0.230 0.770 0.250
0.254 0.605 0.880
0.263 0.177 0.566
0.395 0.746 0.620
0.605 0.254 0.380
0.737 0.823 0.434
0.746 0.395 0.120
0.770 0.230 0.750
0.823 0.737 0.934

=====

Record 11
Ba2HfTe2O2 GGA-PBE relaxed; formation energy without anion corrections = -2.20 eV per atom; calculated volume = 177 Å³/f.u.
1.0
-2.239 2.239 8.846
2.239 -2.239 8.846
2.239 2.239 -8.846
Ba Hf Te O
2 1 2 2
Direct
0.113 0.113 0.000
0.887 0.887 0.000
0.500 0.500 0.000
0.331 0.331 0.000
0.669 0.669 0.000
0.000 0.500 0.500
0.500 0.000 0.500

=====

Record 12
BaHfTeO6 GGA-PBE relaxed; formation energy without anion corrections = -2.38 eV per atom; density of states at the Fermi level = 0.000 states/eV/atom; calculated volume = 149 Å³/f.u.
1.0
5.467 0.000 0.000
-2.733 4.734 0.000
0.000 0.000 11.524
Ba Hf Te O
2 2 2 12
Direct
0.000 0.000 0.000
0.000 0.000 0.500
0.333 0.667 0.250
0.667 0.333 0.750
0.333 0.667 0.750
0.667 0.333 0.250
0.019 0.397 0.653
0.019 0.622 0.847
0.378 0.397 0.847
0.378 0.981 0.653
0.397 0.019 0.153
0.397 0.378 0.347
0.603 0.622 0.653
0.603 0.981 0.847
0.622 0.019 0.347
0.622 0.603 0.153
0.981 0.378 0.153
0.981 0.603 0.347

=====

Copy entry 7 word for word.
BaHfTa2O GGA-PBE relaxed; formation energy without anion corrections = -0.05 eV per atom; density of states at the Fermi level = 1.188 states/eV/atom; calculated volume = 99 Å³/f.u.
1.0
4.333 0.000 0.000
0.000 4.333 0.000
0.000 0.000 5.253
Ba Hf Ta O
1 1 2 1
Direct
0.000 0.000 0.000
0.500 0.500 0.000
0.000 0.500 0.500
0.500 0.000 0.500
0.000 0.000 0.500

=====

What is the formation energy without anion corrections in the eighth record?
-2.91 eV per atom

=====

The lowest calculated volume belongs to which entry?
BaHfTa2O